The following is a DFT calculation (PBE) of a geometry-optimized Tb14NdHf structure.

Summary:
Formation enthalpy at 0 K = 50 meV per atom
E_tot = -78.751 eV per formula unit

Cell lengths 7.0825, 7.0825, 9.9733 Å; angles 90.00, 90.00, 90.00 degrees
Sites, in units of the cell vectors:
Tb 0.3751 0.6249 0.5000
Tb 0.8749 0.1251 0.5000
Tb 0.8749 0.6250 0.0000
Tb 0.8751 0.6250 0.5000
Tb 0.3750 0.1251 0.0000
Tb 0.3750 0.1249 0.5000
Tb 0.6313 0.8813 0.7553
Tb 0.6313 0.8813 0.2447
Tb 0.1187 0.3687 0.7553
Tb 0.1187 0.3687 0.2447
Tb 0.1188 0.8812 0.7553
Tb 0.1188 0.8812 0.2447
Tb 0.6312 0.3688 0.7553
Tb 0.6312 0.3688 0.2447
Nd 0.3749 0.6251 0.0000
Hf 0.8751 0.1249 0.0000